Crystalline PmMnTlO4 at its relaxed geometry. Source: Alexandria, functional PBE+U.

abc: 5.8390 5.6570 8.4083
angles: 90.00 112.31 90.00
Last column: nearest neighbours and their distance in Å.
Positions (direct):
O  0.9704  0.5138  0.3183  1 Mn 1.83
O  0.4007  0.7500  0.2100  1 Mn 1.77
O  0.5971  0.2500  0.4720  1 Mn 1.84
O  0.4029  0.7500  0.5280  1 Mn 1.84
O  0.9704  0.9862  0.3183  1 Mn 1.83
O  0.0296  0.0138  0.6817  1 Mn 1.83
O  0.0296  0.4862  0.6817  1 Mn 1.83
O  0.5993  0.2500  0.7900  1 Mn 1.77
Mn  0.1775  0.7500  0.3048  4 O 1.77-1.84
Mn  0.8225  0.2500  0.6952  4 O 1.77-1.84
Pm  0.7662  0.7500  0.4660  6 O 2.37-2.42
Pm  0.2338  0.2500  0.5340  6 O 2.37-2.42
Tl  0.5923  0.2500  0.1385  3 O 2.62-2.79
Tl  0.4077  0.7500  0.8615  3 O 2.62-2.79

## Properties
As for the crystal system: monoclinic. As for the energy: -6.75 eV per atom. The density comes out at 6.05 g cm⁻³.